# Nd2Sm3HoAs6

A relaxed structure of Nd2Sm3HoAs6 (GGA-PBE, Alexandria).

* space group: C2/m (12)
* formation energy: -1.5168 eV per atom
* VASP energy: -6.198 eV/atom

a b c (Å): 9.4257 9.4257 8.4303
angles (deg): 102.94 102.94 25.86
Atoms (fractional coordinates):
Nd1 0.1657 0.1657 0.3320
Nd2 0.8343 0.8343 0.6680
Sm1 0.1671 0.1671 0.8340
Sm2 0.5000 0.5000 0.5000
Sm3 0.8329 0.8329 0.1660
Ho1 0.5000 0.5000 0.0000
As1 0.0013 0.0013 0.7556
As2 0.3341 0.3341 0.4147
As3 0.3354 0.3354 0.9203
As4 0.6646 0.6646 0.0797
As5 0.6659 0.6659 0.5853
As6 0.9987 0.9987 0.2444



# Nd2SmHoAs4

A relaxed structure of Nd2SmHoAs4 (GGA-PBE, Alexandria).

* space group: P2/m (10)
* formation energy: -1.5145 eV per atom
* VASP energy: -6.193 eV/atom

a b c (Å): 7.2993 4.2189 7.3012
angles (deg): 90.00 109.47 90.00
Atoms (fractional coordinates):
Nd1 0.0000 0.0000 0.0000
Nd2 0.0000 0.5000 0.5000
Sm1 0.5000 0.0000 0.5000
Ho1 0.5000 0.5000 0.0000
As1 0.2559 0.5000 0.2488
As2 0.2581 0.0000 0.7558
As3 0.7419 0.0000 0.2442
As4 0.7441 0.5000 0.7512



# NdSm3Ho2As6

A relaxed structure of NdSm3Ho2As6 (GGA-PBE, Alexandria).

* space group: C2/m (12)
* formation energy: -1.5188 eV per atom
* VASP energy: -6.184 eV/atom

a b c (Å): 7.2523 7.2523 7.2531
angles (deg): 99.59 99.59 119.99
Atoms (fractional coordinates):
Nd1 0.0000 0.0000 0.0000
Sm1 0.1654 0.8346 0.5000
Sm2 0.5000 0.5000 0.5000
Sm3 0.8346 0.1654 0.5000
Ho1 0.3329 0.6671 0.0000
Ho2 0.6671 0.3329 0.0000
As1 0.0823 0.4212 0.2468
As2 0.2571 0.2571 0.7543
As3 0.4212 0.0823 0.2468
As4 0.5788 0.9177 0.7532
As5 0.7429 0.7429 0.2457
As6 0.9177 0.5788 0.7532



# Nd2SmHo3As6

A relaxed structure of Nd2SmHo3As6 (GGA-PBE, Alexandria).

* space group: C2/m (12)
* formation energy: -1.5167 eV per atom
* VASP energy: -6.174 eV/atom

a b c (Å): 9.3372 9.3372 8.3504
angles (deg): 102.86 102.86 25.87
Atoms (fractional coordinates):
Nd1 0.1663 0.1663 0.3327
Nd2 0.8337 0.8337 0.6673
Sm1 0.5000 0.5000 0.0000
Ho1 0.1668 0.1668 0.8335
Ho2 0.5000 0.5000 0.5000
Ho3 0.8332 0.8332 0.1665
As1 0.0025 0.0025 0.7466
As2 0.3319 0.3319 0.9233
As3 0.3357 0.3357 0.4109
As4 0.6643 0.6643 0.5891
As5 0.6681 0.6681 0.0767
As6 0.9975 0.9975 0.2534



# TbNdHo2As4

A relaxed structure of TbNdHo2As4 (GGA-PBE, Alexandria).

* space group: P2/m (10)
* formation energy: -1.5212 eV per atom
* VASP energy: -6.165 eV/atom

a b c (Å): 7.1919 4.1563 7.1944
angles (deg): 90.00 109.48 90.00
Atoms (fractional coordinates):
Tb1 0.0000 0.0000 0.0000
Nd1 0.0000 0.5000 0.5000
Ho1 0.5000 0.0000 0.5000
Ho2 0.5000 0.5000 0.0000
As1 0.2552 0.5000 0.2481
As2 0.2579 0.0000 0.7563
As3 0.7421 0.0000 0.2437
As4 0.7448 0.5000 0.7519



# TbNd3Ho2As6

A relaxed structure of TbNd3Ho2As6 (GGA-PBE, Alexandria).

* space group: C2/m (12)
* formation energy: -1.5162 eV per atom
* VASP energy: -6.182 eV/atom

a b c (Å): 7.2648 7.2648 7.2599
angles (deg): 99.59 99.59 119.99
Atoms (fractional coordinates):
Tb1 0.0000 0.0000 0.0000
Nd1 0.1663 0.8337 0.5000
Nd2 0.5000 0.5000 0.5000
Nd3 0.8337 0.1663 0.5000
Ho1 0.3332 0.6668 0.0000
Ho2 0.6668 0.3332 0.0000
As1 0.0801 0.4148 0.2403
As2 0.2546 0.2546 0.7599
As3 0.4148 0.0801 0.2403
As4 0.5852 0.9199 0.7597
As5 0.7454 0.7454 0.2401
As6 0.9199 0.5852 0.7597



# Tb2NdHoAs4

A relaxed structure of Tb2NdHoAs4 (GGA-PBE, Alexandria).

* space group: P2/m (10)
* formation energy: -1.5235 eV per atom
* VASP energy: -6.174 eV/atom

a b c (Å): 7.2099 4.1662 7.2110
angles (deg): 90.00 109.47 90.00
Atoms (fractional coordinates):
Tb1 0.0000 0.0000 0.0000
Tb2 0.5000 0.5000 0.0000
Nd1 0.0000 0.5000 0.5000
Ho1 0.5000 0.0000 0.5000
As1 0.2543 0.5000 0.2489
As2 0.2563 0.0000 0.7546
As3 0.7437 0.0000 0.2454
As4 0.7457 0.5000 0.7511



# Nd2HoTe2As2

A relaxed structure of Nd2HoTe2As2 (GGA-PBE, Alexandria).

* space group: I4/mmm (139)
* VASP energy: -5.271 eV/atom
* uncorrected formation energy: -7.2 eV per formula unit

a b c (Å): 8.7317 8.7317 8.7317
angles (deg): 144.59 144.59 50.95
Atoms (fractional coordinates):
Nd1 0.1132 0.1132 0.0000
Nd2 0.8868 0.8868 0.0000
Ho1 0.5000 0.5000 0.0000
Te1 0.3083 0.3083 0.0000
Te2 0.6917 0.6917 0.0000
As1 0.0000 0.5000 0.5000
As2 0.5000 0.0000 0.5000



# NdHo2ThAs4

A relaxed structure of NdHo2ThAs4 (GGA-PBE, Alexandria).

* space group: P2/m (10)
* formation energy: -1.5067 eV per atom
* VASP energy: -6.499 eV/atom

a b c (Å): 7.2210 4.1898 7.2506
angles (deg): 90.00 109.49 90.00
Atoms (fractional coordinates):
Nd1 0.0000 0.0000 0.0000
Ho1 0.5000 0.0000 0.5000
Ho2 0.5000 0.5000 0.0000
Th1 0.0000 0.5000 0.5000
As1 0.2592 0.0000 0.7518
As2 0.2594 0.5000 0.2550
As3 0.7408 0.0000 0.2482
As4 0.7406 0.5000 0.7450



# NdHo2Th3As6

A relaxed structure of NdHo2Th3As6 (GGA-PBE, Alexandria).

* space group: C2/m (12)
* formation energy: -1.4625 eV per atom
* VASP energy: -6.803 eV/atom

a b c (Å): 7.3042 7.3042 7.2538
angles (deg): 99.69 99.69 119.92
Atoms (fractional coordinates):
Nd1 0.0000 0.0000 0.0000
Ho1 0.3327 0.6673 0.0000
Ho2 0.6673 0.3327 0.0000
Th1 0.1651 0.8349 0.5000
Th2 0.5000 0.5000 0.5000
Th3 0.8349 0.1651 0.5000
As1 0.0819 0.4213 0.2455
As2 0.2585 0.2585 0.7564
As3 0.4213 0.0819 0.2455
As4 0.5787 0.9181 0.7545
As5 0.7415 0.7415 0.2436
As6 0.9181 0.5787 0.7545



# Nd2Ho3ThAs6

A relaxed structure of Nd2Ho3ThAs6 (GGA-PBE, Alexandria).

* space group: C2/m (12)
* formation energy: -1.5130 eV per atom
* VASP energy: -6.395 eV/atom

a b c (Å): 9.3403 9.3403 8.3633
angles (deg): 102.70 102.70 25.92
Atoms (fractional coordinates):
Nd1 0.1676 0.1676 0.3359
Nd2 0.8324 0.8324 0.6641
Ho1 0.1677 0.1677 0.8323
Ho2 0.5000 0.5000 0.5000
Ho3 0.8323 0.8323 0.1677
Th1 0.5000 0.5000 0.0000
As1 0.0023 0.0023 0.7464
As2 0.3322 0.3322 0.9233
As3 0.3360 0.3360 0.4104
As4 0.6640 0.6640 0.5896
As5 0.6678 0.6678 0.0767
As6 0.9977 0.9977 0.2536



# Nd2HoThAs4

A relaxed structure of Nd2HoThAs4 (GGA-PBE, Alexandria).

* space group: P2/m (10)
* formation energy: -1.5063 eV per atom
* VASP energy: -6.523 eV/atom

a b c (Å): 7.3033 4.2319 7.3336
angles (deg): 90.00 109.44 90.00
Atoms (fractional coordinates):
Nd1 0.0000 0.0000 0.0000
Nd2 0.5000 0.5000 0.0000
Ho1 0.0000 0.5000 0.5000
Th1 0.5000 0.0000 0.5000
As1 0.2442 0.0000 0.7414
As2 0.2482 0.5000 0.2556
As3 0.7518 0.5000 0.7444
As4 0.7558 0.0000 0.2586